P:
Compound: CdHgCl2
Source: Alexandria via LeMat-Bulk
Functional: PBE-GGA
Structure: optimized geometry

```
4
Lattice="-3.858 -0.743 -4.525 2.818 -3.836 -3.640 -2.572 0.701 5.366" Properties=species:S:1:pos:R:3 pbc="T T T"
Cl -0.056 -0.249 -0.444
Cl -3.431 -0.972 -1.276
Hg -0.507 -2.232 -3.980
Cd -0.137 -2.714 -1.181
```

Calculated values
- Symmetry: Imm2 (44)
- Crystal system: orthorhombic
- Total magnetization: 0.0 μB/cell


Q:
Compound: CdHgCl2
Source: Alexandria via LeMat-Bulk
Functional: PBE-GGA
Structure: optimized geometry

```
4
Lattice="1.450 0.476 4.904 -3.542 0.375 3.700 -0.712 -3.890 3.278" Properties=species:S:1:pos:R:3 pbc="T T T"
Cl -0.701 -0.759 2.971
Cl -2.103 -2.278 8.912
Hg -1.402 -1.519 5.941
Cd 0.000 0.000 0.000
```

Calculated values
- Symmetry: Fm-3m (225)
- Crystal system: cubic
- Total magnetization: 0.0 μB/cell


Which of them is the least stable? Correct choice: Q.


P:
Compound: CdHgCl2
Source: Alexandria via LeMat-Bulk
Functional: PBE-GGA
Structure: optimized geometry

```
4
Lattice="-10.352 0.481 -1.455 -9.751 1.451 3.509 -9.098 5.169 0.090" Properties=species:S:1:pos:R:3 pbc="T T T"
Cl -26.997 6.565 1.983
Cl -2.205 0.536 0.162
Hg -14.601 3.550 1.072
Cd 0.000 0.000 0.000
```

Calculated values
- Symmetry: R-3m (166)
- Crystal system: trigonal
- Total magnetization: 0.0 μB/cell


Q:
Compound: CdHgCl2
Source: Alexandria via LeMat-Bulk
Functional: PBE-GGA
Structure: optimized geometry

```
4
Lattice="3.922 -0.023 0.000 -2.077 3.327 0.000 0.000 0.000 10.533" Properties=species:S:1:pos:R:3 pbc="T T T"
Cl 0.000 0.000 9.613
Cl 0.000 0.000 6.187
Hg 0.922 1.652 2.633
Cd 0.922 1.652 7.900
```

Calculated values
- Symmetry: Cmmm (65)
- Crystal system: orthorhombic
- Total magnetization: 0.0 μB/cell


Which of them is the least stable? Correct choice: P.